## P
Below is a geometry-optimized Pr4SmHo6 structure, with properties calculated at the PBE level.

Calculated values
**Space group**: I-42m, No. 121
**Total magnetic moment**: 0.0 μB/f.u.

a = 9.722 Å, b = 9.722 Å, c = 9.722 Å
α = 139.57°, β = 139.57°, γ = 58.50°
Fractional positions:
1 Pr 0.133 0.133 0.618
2 Pr 0.485 0.867 0.000
3 Pr 0.515 0.515 0.382
4 Pr 0.867 0.485 0.000
5 Sm 0.500 0.500 0.000
6 Ho 0.000 0.500 0.500
7 Ho 0.055 0.700 0.000
8 Ho 0.300 0.300 0.354
9 Ho 0.500 0.000 0.500
10 Ho 0.700 0.055 0.000
11 Ho 0.945 0.945 0.646



## Q
Below is a geometry-optimized Pr4SmHo6 structure, with properties calculated at the PBE level.

Calculated values
**Space group**: I-42m, No. 121
**Total magnetic moment**: 0.0 μB/f.u.

a = 8.542 Å, b = 8.542 Å, c = 8.542 Å
α = 125.87°, β = 125.87°, γ = 80.11°
Fractional positions:
1 Pr 0.248 0.248 0.648
2 Pr 0.400 0.752 0.000
3 Pr 0.600 0.600 0.352
4 Pr 0.752 0.400 0.000
5 Sm 0.000 0.000 0.000
6 Ho 0.000 0.500 0.500
7 Ho 0.063 0.569 0.000
8 Ho 0.431 0.431 0.494
9 Ho 0.500 0.000 0.500
10 Ho 0.569 0.063 0.000
11 Ho 0.937 0.937 0.506



What should be chosen as the least stable of them? Choose Q.



## P
Below is a geometry-optimized Pr12SmHo6 structure, with properties calculated at the PBE level.

Calculated values
**Space group**: R-3, No. 148
**Total magnetic moment**: 0.0 μB/f.u.

a = 8.739 Å, b = 8.739 Å, c = 8.739 Å
α = 88.87°, β = 88.87°, γ = 88.87°
Fractional positions:
1 Pr 0.018 0.194 0.364
2 Pr 0.194 0.364 0.018
3 Pr 0.217 0.464 0.567
4 Pr 0.364 0.018 0.194
5 Pr 0.433 0.783 0.536
6 Pr 0.464 0.567 0.217
7 Pr 0.536 0.433 0.783
8 Pr 0.567 0.217 0.464
9 Pr 0.636 0.982 0.806
10 Pr 0.783 0.536 0.433
11 Pr 0.806 0.636 0.982
12 Pr 0.982 0.806 0.636
13 Sm 0.000 0.000 0.000
14 Ho 0.100 0.704 0.258
15 Ho 0.258 0.100 0.704
16 Ho 0.296 0.742 0.900
17 Ho 0.704 0.258 0.100
18 Ho 0.742 0.900 0.296
19 Ho 0.900 0.296 0.742



## Q
Below is a geometry-optimized Pr12SmHo6 structure, with properties calculated at the PBE level.

Calculated values
**Space group**: R-3, No. 148
**Total magnetic moment**: 0.0 μB/f.u.

a = 9.323 Å, b = 9.323 Å, c = 9.323 Å
α = 106.65°, β = 106.65°, γ = 106.65°
Fractional positions:
1 Pr 0.134 0.279 0.827
2 Pr 0.173 0.866 0.721
3 Pr 0.194 0.482 0.579
4 Pr 0.279 0.827 0.134
5 Pr 0.421 0.806 0.518
6 Pr 0.482 0.579 0.194
7 Pr 0.518 0.421 0.806
8 Pr 0.579 0.194 0.482
9 Pr 0.721 0.173 0.866
10 Pr 0.806 0.518 0.421
11 Pr 0.827 0.134 0.279
12 Pr 0.866 0.721 0.173
13 Sm 0.000 0.000 0.000
14 Ho 0.076 0.458 0.190
15 Ho 0.190 0.076 0.458
16 Ho 0.458 0.190 0.076
17 Ho 0.542 0.810 0.924
18 Ho 0.810 0.924 0.542
19 Ho 0.924 0.542 0.810



What should be chosen as the least stable of them? Choose Q.



## P
Below is a geometry-optimized PrSm3Ho7 structure, with properties calculated at the PBE level.

Calculated values
**Space group**: P2/m, No. 10
**Total magnetic moment**: 0.0 μB/f.u.

a = 6.970 Å, b = 5.538 Å, c = 9.986 Å
α = 90.00°, β = 109.95°, γ = 90.00°
Fractional positions:
1 Pr 0.000 0.000 0.000
2 Sm 0.282 0.500 0.498
3 Sm 0.500 0.000 0.000
4 Sm 0.718 0.500 0.502
5 Ho 0.000 0.000 0.500
6 Ho 0.146 0.500 0.789
7 Ho 0.322 0.500 0.141
8 Ho 0.420 0.000 0.330
9 Ho 0.580 0.000 0.670
10 Ho 0.678 0.500 0.859
11 Ho 0.854 0.500 0.211



## Q
Below is a geometry-optimized PrSm3Ho7 structure, with properties calculated at the PBE level.

Calculated values
**Space group**: P3m1, No. 156
**Total magnetic moment**: 0.0 μB/f.u.

a = 7.064 Å, b = 7.064 Å, c = 8.673 Å
α = 90.00°, β = 90.00°, γ = 120.00°
Fractional positions:
1 Pr 0.000 0.000 0.000
2 Sm 0.334 0.167 0.661
3 Sm 0.833 0.167 0.661
4 Sm 0.833 0.666 0.661
5 Ho 0.166 0.332 0.327
6 Ho 0.166 0.834 0.327
7 Ho 0.501 0.002 0.000
8 Ho 0.501 0.499 0.000
9 Ho 0.667 0.333 0.325
10 Ho 0.668 0.834 0.327
11 Ho 0.998 0.499 0.000



What should be chosen as the least stable of them? Choose Q.



## P
Below is a geometry-optimized PrSm2Ho5 structure, with properties calculated at the PBE level.

Calculated values
**Space group**: Pbam, No. 55
**Total magnetic moment**: 0.0 μB/f.u.

a = 7.152 Å, b = 14.311 Å, c = 5.045 Å
α = 90.00°, β = 90.00°, γ = 90.00°
Fractional positions:
1 Pr 0.000 0.000 0.000
2 Pr 0.500 0.500 0.000
3 Sm 0.248 0.374 0.500
4 Sm 0.252 0.874 0.500
5 Sm 0.748 0.126 0.500
6 Sm 0.752 0.626 0.500
7 Ho 0.000 0.500 0.000
8 Ho 0.002 0.749 0.000
9 Ho 0.249 0.126 0.500
10 Ho 0.251 0.626 0.500
11 Ho 0.498 0.249 0.000
12 Ho 0.500 0.000 0.000
13 Ho 0.502 0.751 0.000
14 Ho 0.749 0.374 0.500
15 Ho 0.751 0.874 0.500
16 Ho 0.998 0.251 0.000



## Q
Below is a geometry-optimized PrSm2Ho5 structure, with properties calculated at the PBE level.

Calculated values
**Space group**: C2/c, No. 15
**Total magnetic moment**: 0.0 μB/f.u.

a = 9.580 Å, b = 9.580 Å, c = 6.468 Å
α = 96.44°, β = 96.44°, γ = 62.31°
Fractional positions:
1 Pr 0.000 0.500 0.000
2 Pr 0.500 0.000 0.500
3 Sm 0.171 0.678 0.887
4 Sm 0.322 0.829 0.613
5 Sm 0.678 0.171 0.387
6 Sm 0.829 0.322 0.113
7 Ho 0.009 0.189 0.640
8 Ho 0.189 0.009 0.140
9 Ho 0.215 0.395 0.481
10 Ho 0.395 0.215 0.981
11 Ho 0.444 0.556 0.250
12 Ho 0.556 0.444 0.750
13 Ho 0.605 0.785 0.019
14 Ho 0.785 0.605 0.519
15 Ho 0.811 0.991 0.860
16 Ho 0.991 0.811 0.360



What should be chosen as the least stable of them? Choose Q.



## P
Below is a geometry-optimized Pr4Sm3Ho4 structure, with properties calculated at the PBE level.

Calculated values
**Space group**: Immm, No. 71
**Total magnetic moment**: 0.0 μB/f.u.

a = 20.167 Å, b = 20.167 Å, c = 20.167 Å
α = 169.68°, β = 165.44°, γ = 17.88°
Fractional positions:
1 Pr 0.046 0.046 0.000
2 Pr 0.317 0.317 0.000
3 Pr 0.683 0.683 0.000
4 Pr 0.954 0.954 0.000
5 Sm 0.136 0.136 0.000
6 Sm 0.500 0.500 0.000
7 Sm 0.864 0.864 0.000
8 Ho 0.228 0.228 0.000
9 Ho 0.408 0.408 0.000
10 Ho 0.592 0.592 0.000
11 Ho 0.772 0.772 0.000



## Q
Below is a geometry-optimized Pr4Sm3Ho4 structure, with properties calculated at the PBE level.

Calculated values
**Space group**: Amm2, No. 38
**Total magnetic moment**: 0.0 μB/f.u.

a = 10.806 Å, b = 6.706 Å, c = 6.706 Å
α = 50.83°, β = 90.00°, γ = 90.00°
Fractional positions:
1 Pr 0.000 0.000 0.000
2 Pr 0.210 0.794 0.794
3 Pr 0.500 0.921 0.921
4 Pr 0.790 0.794 0.794
5 Sm 0.000 0.293 0.293
6 Sm 0.289 0.451 0.451
7 Sm 0.711 0.451 0.451
8 Ho 0.000 0.594 0.594
9 Ho 0.304 0.145 0.145
10 Ho 0.500 0.648 0.648
11 Ho 0.696 0.145 0.145



What should be chosen as the least stable of them? Choose Q.



## P
Below is a geometry-optimized Pr2Sm4Ho3 structure, with properties calculated at the PBE level.

Calculated values
**Space group**: C2/m, No. 12
**Total magnetic moment**: 0.0 μB/f.u.

a = 10.106 Å, b = 10.106 Å, c = 8.723 Å
α = 98.94°, β = 98.94°, γ = 20.25°
Fractional positions:
1 Pr 0.167 0.167 0.044
2 Pr 0.833 0.833 0.956
3 Sm 0.048 0.048 0.684
4 Sm 0.220 0.220 0.648
5 Sm 0.780 0.780 0.352
6 Sm 0.952 0.952 0.316
7 Ho 0.394 0.394 0.638
8 Ho 0.500 0.500 0.000
9 Ho 0.606 0.606 0.362



## Q
Below is a geometry-optimized Pr2Sm4Ho3 structure, with properties calculated at the PBE level.

Calculated values
**Space group**: P3m1, No. 156
**Total magnetic moment**: 0.0 μB/f.u.

a = 3.630 Å, b = 3.630 Å, c = 26.814 Å
α = 90.00°, β = 90.00°, γ = 120.00°
Fractional positions:
1 Pr 0.000 0.000 0.000
2 Pr 0.000 0.000 0.217
3 Sm 0.000 0.000 0.350
4 Sm 0.000 0.000 0.562
5 Sm 0.333 0.667 0.673
6 Sm 0.333 0.667 0.886
7 Ho 0.000 0.000 0.780
8 Ho 0.333 0.667 0.110
9 Ho 0.333 0.667 0.455



What should be chosen as the least stable of them? Choose P.



## P
Below is a geometry-optimized Pr7Sm2Ho structure, with properties calculated at the PBE level.

Calculated values
**Space group**: Cmmm, No. 65
**Total magnetic moment**: 0.0 μB/f.u.

a = 15.397 Å, b = 15.397 Å, c = 3.482 Å
α = 90.00°, β = 90.00°, γ = 154.71°
Fractional positions:
1 Pr 0.000 0.000 0.000
2 Pr 0.159 0.358 0.000
3 Pr 0.190 0.810 0.500
4 Pr 0.358 0.159 0.000
5 Pr 0.642 0.841 0.000
6 Pr 0.810 0.190 0.500
7 Pr 0.841 0.642 0.000
8 Sm 0.293 0.707 0.000
9 Sm 0.707 0.293 0.000
10 Ho 0.500 0.500 0.500



## Q
Below is a geometry-optimized Pr7Sm2Ho structure, with properties calculated at the PBE level.

Calculated values
**Space group**: Cmmm, No. 65
**Total magnetic moment**: 0.0 μB/f.u.

a = 9.571 Å, b = 9.571 Å, c = 5.590 Å
α = 90.00°, β = 90.00°, γ = 124.86°
Fractional positions:
1 Pr 0.000 0.000 0.000
2 Pr 0.209 0.430 0.000
3 Pr 0.284 0.716 0.500
4 Pr 0.430 0.209 0.000
5 Pr 0.570 0.791 0.000
6 Pr 0.716 0.284 0.500
7 Pr 0.791 0.570 0.000
8 Sm 0.205 0.795 0.000
9 Sm 0.795 0.205 0.000
10 Ho 0.500 0.500 0.500



What should be chosen as the least stable of them? Choose Q.



## P
Below is a geometry-optimized Pr2Sm3Ho2 structure, with properties calculated at the PBE level.

Calculated values
**Space group**: P-1, No. 2
**Total magnetic moment**: 0.0 μB/f.u.

a = 3.632 Å, b = 6.248 Å, c = 10.871 Å
α = 95.40°, β = 90.03°, γ = 106.80°
Fractional positions:
1 Pr 0.216 0.431 0.355
2 Pr 0.784 0.569 0.645
3 Sm 0.357 0.716 0.931
4 Sm 0.500 0.000 0.500
5 Sm 0.643 0.284 0.069
6 Ho 0.070 0.140 0.788
7 Ho 0.930 0.860 0.212



## Q
Below is a geometry-optimized Pr2Sm3Ho2 structure, with properties calculated at the PBE level.

Calculated values
**Space group**: C2/m, No. 12
**Total magnetic moment**: 0.0 μB/f.u.

a = 8.595 Å, b = 8.595 Å, c = 8.872 Å
α = 115.36°, β = 115.36°, γ = 23.74°
Fractional positions:
1 Pr 0.078 0.078 0.200
2 Pr 0.922 0.922 0.800
3 Sm 0.000 0.000 0.500
4 Sm 0.221 0.221 0.650
5 Sm 0.779 0.779 0.350
6 Ho 0.360 0.360 0.092
7 Ho 0.640 0.640 0.908



What should be chosen as the least stable of them? Choose Q.



## P
Below is a geometry-optimized PrSm6Ho4 structure, with properties calculated at the PBE level.

Calculated values
**Space group**: I-42m, No. 121
**Total magnetic moment**: 0.0 μB/f.u.

a = 8.602 Å, b = 8.602 Å, c = 8.602 Å
α = 127.64°, β = 127.64°, γ = 77.21°
Fractional positions:
1 Pr 0.000 0.000 0.000
2 Sm 0.000 0.500 0.500
3 Sm 0.046 0.579 0.000
4 Sm 0.421 0.421 0.467
5 Sm 0.500 0.000 0.500
6 Sm 0.579 0.046 0.000
7 Sm 0.954 0.954 0.533
8 Ho 0.258 0.258 0.675
9 Ho 0.417 0.742 0.000
10 Ho 0.583 0.583 0.325
11 Ho 0.742 0.417 0.000



## Q
Below is a geometry-optimized PrSm6Ho4 structure, with properties calculated at the PBE level.

Calculated values
**Space group**: Cmcm, No. 63
**Total magnetic moment**: 0.0 μB/f.u.

a = 5.649 Å, b = 5.649 Å, c = 25.810 Å
α = 90.00°, β = 90.00°, γ = 117.66°
Fractional positions:
1 Pr 0.213 0.787 0.750
2 Pr 0.787 0.213 0.250
3 Sm 0.120 0.880 0.181
4 Sm 0.120 0.880 0.319
5 Sm 0.203 0.797 0.600
6 Sm 0.203 0.797 0.900
7 Sm 0.448 0.552 0.250
8 Sm 0.500 0.500 0.000
9 Sm 0.500 0.500 0.500
10 Sm 0.552 0.448 0.750
11 Sm 0.797 0.203 0.100
12 Sm 0.797 0.203 0.400
13 Sm 0.880 0.120 0.681
14 Sm 0.880 0.120 0.819
15 Ho 0.149 0.851 0.043
16 Ho 0.149 0.851 0.457
17 Ho 0.453 0.547 0.123
18 Ho 0.453 0.547 0.377
19 Ho 0.547 0.453 0.623
20 Ho 0.547 0.453 0.877
21 Ho 0.851 0.149 0.543
22 Ho 0.851 0.149 0.957



What should be chosen as the least stable of them? Choose P.



## P
Below is a geometry-optimized Pr7Sm2Ho3 structure, with properties calculated at the PBE level.

Calculated values
**Space group**: P2/m, No. 10
**Total magnetic moment**: 0.0 μB/f.u.

a = 5.952 Å, b = 3.656 Å, c = 19.237 Å
α = 90.00°, β = 93.76°, γ = 90.00°
Fractional positions:
1 Pr 0.000 0.000 0.000
2 Pr 0.174 0.500 0.183
3 Pr 0.258 0.500 0.535
4 Pr 0.330 0.000 0.855
5 Pr 0.670 0.000 0.145
6 Pr 0.742 0.500 0.465
7 Pr 0.826 0.500 0.817
8 Sm 0.297 0.500 0.702
9 Sm 0.703 0.500 0.298
10 Ho 0.215 0.000 0.368
11 Ho 0.500 0.500 0.000
12 Ho 0.785 0.000 0.632



## Q
Below is a geometry-optimized Pr7Sm2Ho3 structure, with properties calculated at the PBE level.

Calculated values
**Space group**: P2/m, No. 10
**Total magnetic moment**: 0.0 μB/f.u.

a = 6.540 Å, b = 3.594 Å, c = 17.757 Å
α = 90.00°, β = 95.75°, γ = 90.00°
Fractional positions:
1 Pr 0.000 0.000 0.000
2 Pr 0.227 0.500 0.172
3 Pr 0.258 0.500 0.494
4 Pr 0.279 0.000 0.834
5 Pr 0.721 0.000 0.166
6 Pr 0.742 0.500 0.506
7 Pr 0.773 0.500 0.828
8 Sm 0.059 0.500 0.670
9 Sm 0.941 0.500 0.330
10 Ho 0.457 0.000 0.341
11 Ho 0.500 0.500 0.000
12 Ho 0.543 0.000 0.659



What should be chosen as the least stable of them? Choose P.